Entry 1:
Entry from Alexandria via LeMat-Bulk: an optimized crystal structure of NbFePt2 (GGA-PBE).

Structure (CIF):
```
data_NbFePt2
_cell_length_a 3.3961
_cell_length_b 3.3961
_cell_length_c 5.4423
_cell_angle_alpha 90.00
_cell_angle_beta 90.00
_cell_angle_gamma 90.00
_space_group_name_H-M_alt 'P 1'
_space_group_IT_number 1
loop_
_space_group_symop_operation_xyz
'x,y,z'
loop_
_atom_site_label
_atom_site_fract_x
_atom_site_fract_y
_atom_site_fract_z
Fe1 0.5000 0.5000 0.0000
Pt1 0.0000 0.0000 0.2423
Nb1 0.5000 0.5000 0.5000
Pt2 0.0000 0.0000 0.7577
```

Calculated values
energy relative to the lowest polymorph listed for this composition	80.1	meV/atom
density	14.26	Mg/m³
symmetry	P4/mmm
calculated total energy	-8.027	eV per atom

***

Entry 2:
Entry from Alexandria via LeMat-Bulk: an optimized crystal structure of Pr2Be3ZnNi12 (GGA-PBE).

Structure (CIF):
```
data_Pr2Be3ZnNi12
_cell_length_a 6.9687
_cell_length_b 6.9687
_cell_length_c 6.9687
_cell_angle_alpha 64.36
_cell_angle_beta 64.36
_cell_angle_gamma 64.36
_space_group_name_H-M_alt 'P 1'
_space_group_IT_number 1
loop_
_space_group_symop_operation_xyz
'x,y,z'
loop_
_atom_site_label
_atom_site_fract_x
_atom_site_fract_y
_atom_site_fract_z
Pr1 0.3917 0.3917 0.3917
Ni1 0.8701 0.8701 0.3862
Ni2 0.8701 0.3862 0.8701
Pr2 0.6083 0.6083 0.6083
Ni3 0.6591 0.6591 0.0886
Ni4 0.9114 0.3409 0.3409
Ni5 0.1299 0.1299 0.6138
Ni6 0.6591 0.0886 0.6591
Be1 0.0000 0.0000 0.5000
Be2 0.5000 0.0000 0.0000
Be3 0.0000 0.5000 0.0000
Zn1 0.0000 0.0000 0.0000
Ni7 0.3409 0.3409 0.9114
Ni8 0.1299 0.6138 0.1299
Ni9 0.3862 0.8701 0.8701
Ni10 0.0886 0.6591 0.6591
Ni11 0.3409 0.9114 0.3409
Ni12 0.6138 0.1299 0.1299
```

Calculated values
density	6.83	Mg/m³
symmetry	R-3m
calculated total energy	-4.841	eV per atom

***

Entry 3:
Entry from Alexandria via LeMat-Bulk: an optimized crystal structure of GePOsO2 (GGA-PBE).

Structure (CIF):
```
data_GePOsO2
_cell_length_a 3.7892
_cell_length_b 3.7892
_cell_length_c 5.1935
_cell_angle_alpha 90.00
_cell_angle_beta 90.00
_cell_angle_gamma 90.00
_space_group_name_H-M_alt 'P 1'
_space_group_IT_number 1
loop_
_space_group_symop_operation_xyz
'x,y,z'
loop_
_atom_site_label
_atom_site_fract_x
_atom_site_fract_y
_atom_site_fract_z
Os1 0.0000 0.0000 0.0000
O1 0.5000 0.0000 0.0000
Ge1 0.5000 0.5000 0.5000
P1 0.0000 0.0000 0.5000
O2 0.0000 0.5000 0.0000
```

Calculated values
energy relative to the lowest polymorph listed for this composition	0.0	meV/atom
density	7.26	Mg/m³
symmetry	P4/mmm
calculated total energy	-6.510	eV per atom
formation energy without anion corrections	-133	kJ/mol of formula units

***

Entry 4:
Entry from Alexandria via LeMat-Bulk: an optimized crystal structure of Pr2LuTl (GGA-PBE).

Structure (CIF):
```
data_Pr2LuTl
_cell_length_a 5.5915
_cell_length_b 5.5915
_cell_length_c 5.5915
_cell_angle_alpha 60.00
_cell_angle_beta 60.00
_cell_angle_gamma 60.00
_space_group_name_H-M_alt 'P 1'
_space_group_IT_number 1
loop_
_space_group_symop_operation_xyz
'x,y,z'
loop_
_atom_site_label
_atom_site_fract_x
_atom_site_fract_y
_atom_site_fract_z
Tl1 0.5000 0.5000 0.5000
Lu1 0.0000 0.0000 0.0000
Pr1 0.7500 0.7500 0.7500
Pr2 0.2500 0.2500 0.2500
```

Calculated values
energy relative to the lowest polymorph listed for this composition	106.0	meV/atom
density	8.88	Mg/m³
symmetry	Fm-3m
calculated total energy	-4.191	eV per atom

***

Entry 5:
Entry from Alexandria via LeMat-Bulk: an optimized crystal structure of Nd2NiSe (GGA-PBE).

Structure (CIF):
```
data_Nd2NiSe
_cell_length_a 4.0620
_cell_length_b 4.0620
_cell_length_c 7.6778
_cell_angle_alpha 74.66
_cell_angle_beta 74.66
_cell_angle_gamma 60.00
_space_group_name_H-M_alt 'P 1'
_space_group_IT_number 1
loop_
_space_group_symop_operation_xyz
'x,y,z'
loop_
_atom_site_label
_atom_site_fract_x
_atom_site_fract_y
_atom_site_fract_z
Se1 0.4997 0.4997 0.5009
Nd1 0.0737 0.0737 0.7789
Ni1 0.6667 0.6667 0.0000
Nd2 0.2599 0.2599 0.2202
```

Calculated values
energy relative to the lowest polymorph listed for this composition	96.0	meV/atom
density	6.77	Mg/m³
symmetry	R3m
calculated total energy	-5.644	eV per atom
formation energy without anion corrections	-364	kJ/mol of formula units

***

Entry 6:
Entry from Alexandria via LeMat-Bulk: an optimized crystal structure of Ba2MnPb (GGA-PBE).

Structure (CIF):
```
data_Ba2MnPb
_cell_length_a 4.9140
_cell_length_b 5.2296
_cell_length_c 6.8018
_cell_angle_alpha 67.40
_cell_angle_beta 90.00
_cell_angle_gamma 90.00
_space_group_name_H-M_alt 'P 1'
_space_group_IT_number 1
loop_
_space_group_symop_operation_xyz
'x,y,z'
loop_
_atom_site_label
_atom_site_fract_x
_atom_site_fract_y
_atom_site_fract_z
Ba1 0.5000 0.2701 0.3347
Ba2 0.0000 0.9850 0.9053
Pb1 0.5000 0.5683 0.7384
Mn1 0.0000 0.6766 0.5215
```

Calculated values
density	5.52	Mg/m³
symmetry	Amm2
calculated total energy	-4.192	eV per atom